Record 1
Computed, not measured: a geometry-optimized LaScFe2 structure at the PBE-GGA level of DFT.

abc: 3.4825 3.4825 6.5510
angles: 90.00 90.00 90.00
Sites, in units of the cell vectors:
1 La 0.0000 0.0000 0.0000
2 Sc 0.0000 0.0000 0.5000
3 Fe 0.5000 0.5000 0.3160
4 Fe 0.5000 0.5000 0.6840

ρ   6.18 g cm⁻³
Space group   P4/mmm
ΔH_f (0 K)   0.488 eV per formula unit

Record 2
Computed, not measured: a geometry-optimized LaScFe2 structure at the PBE-GGA level of DFT.

abc: 4.7525 4.7525 3.3470
angles: 90.00 90.00 90.00
Sites, in units of the cell vectors:
1 La 0.0000 0.0000 0.0000
2 Sc 0.5000 0.5000 0.0000
3 Fe 0.0000 0.5000 0.5000
4 Fe 0.5000 0.0000 0.5000

ρ   6.49 g cm⁻³
Space group   P4/mmm
ΔH_f (0 K)   0.854 eV per formula unit

Record 3
Computed, not measured: a geometry-optimized La2ScFe2 structure at the PBE-GGA level of DFT.

abc: 7.3472 7.3472 4.3152
angles: 90.00 90.00 90.00
Sites, in units of the cell vectors:
1 La 0.1826 0.3174 0.0000
2 La 0.3174 0.8174 0.0000
3 La 0.6826 0.1826 0.0000
4 La 0.8174 0.6826 0.0000
5 Sc 0.0000 0.0000 0.5000
6 Sc 0.5000 0.5000 0.5000
7 Fe 0.1080 0.6080 0.5000
8 Fe 0.3920 0.1080 0.5000
9 Fe 0.6080 0.8920 0.5000
10 Fe 0.8920 0.3920 0.5000

ρ   6.19 g cm⁻³
Space group   P4/mbm
ΔH_f (0 K)   0.691 eV per formula unit

Record 4
Computed, not measured: a geometry-optimized LaSc3Fe structure at the PBE-GGA level of DFT.

abc: 4.9793 4.9793 4.9793
angles: 90.00 90.00 90.00
Sites, in units of the cell vectors:
1 La 0.0000 0.0000 0.0000
2 Sc 0.0000 0.5000 0.5000
3 Sc 0.5000 0.0000 0.5000
4 Sc 0.5000 0.5000 0.0000
5 Fe 0.5000 0.5000 0.5000

ρ   4.43 g cm⁻³
Space group   Pm-3m
Energy relative to the lowest polymorph listed for this composition   0.00 eV per formula unit
ΔH_f (0 K)   -0.126 eV per formula unit

Record 5
Computed, not measured: a geometry-optimized La2ScFeSn structure at the PBE-GGA level of DFT.

abc: 5.0690 5.0690 5.1370
angles: 90.00 90.00 90.00
Sites, in units of the cell vectors:
1 La 0.0000 0.5000 0.0000
2 La 0.5000 0.0000 0.0000
3 Sc 0.0000 0.0000 0.5000
4 Fe 0.0000 0.0000 0.0000
5 Sn 0.5000 0.5000 0.5000

ρ   6.26 g cm⁻³
Space group   P4/mmm
ΔH_f (0 K)   -1.483 eV per formula unit

Record 6
Computed, not measured: a geometry-optimized SrLa2ScFe structure at the PBE-GGA level of DFT.

abc: 5.4330 5.4330 5.3518
angles: 90.00 90.00 90.00
Sites, in units of the cell vectors:
1 Sr 0.0000 0.0000 0.0000
2 La 0.0000 0.5000 0.5000
3 La 0.5000 0.0000 0.5000
4 Sc 0.5000 0.5000 0.0000
5 Fe 0.5000 0.5000 0.5000

ρ   4.90 g cm⁻³
Space group   P4/mmm
ΔH_f (0 K)   0.460 eV per formula unit

Record 7
Computed, not measured: a geometry-optimized LaScFeTc2 structure at the PBE-GGA level of DFT.

abc: 4.6263 4.6263 4.8262
angles: 90.00 90.00 90.00
Sites, in units of the cell vectors:
1 La 0.0000 0.0000 0.0000
2 Sc 0.5000 0.5000 0.0000
3 Fe 0.0000 0.0000 0.5000
4 Tc 0.0000 0.5000 0.5000
5 Tc 0.5000 0.0000 0.5000

ρ   7.00 g cm⁻³
Space group   P4/mmm
ΔH_f (0 K)   3.508 eV per formula unit

Record 8
Computed, not measured: a geometry-optimized La2ScFeTe structure at the PBE-GGA level of DFT.

abc: 5.2264 5.2264 4.9468
angles: 90.00 90.00 90.00
Sites, in units of the cell vectors:
1 La 0.0000 0.5000 0.0000
2 La 0.5000 0.0000 0.0000
3 Sc 0.0000 0.0000 0.5000
4 Fe 0.0000 0.0000 0.0000
5 Te 0.5000 0.5000 0.5000

ρ   6.22 g cm⁻³
Space group   P4/mmm
ΔE_f (raw)   -0.46 eV/atom

Record 9
Computed, not measured: a geometry-optimized LaSc2TiFe structure at the PBE-GGA level of DFT.

abc: 4.9738 4.9738 4.6615
angles: 90.00 90.00 90.00
Sites, in units of the cell vectors:
1 La 0.0000 0.0000 0.0000
2 Sc 0.0000 0.5000 0.5000
3 Sc 0.5000 0.0000 0.5000
4 Ti 0.5000 0.5000 0.0000
5 Fe 0.5000 0.5000 0.5000

ρ   4.79 g cm⁻³
Space group   P4/mmm
ΔH_f (0 K)   0.235 eV per formula unit

Record 10
Computed, not measured: a geometry-optimized LaSc2TlFe structure at the PBE-GGA level of DFT.

abc: 4.9957 4.9957 4.9959
angles: 90.00 90.00 90.00
Sites, in units of the cell vectors:
1 La 0.0000 0.0000 0.0000
2 Sc 0.0000 0.5000 0.5000
3 Sc 0.5000 0.0000 0.5000
4 Tl 0.5000 0.5000 0.0000
5 Fe 0.0000 0.0000 0.5000

ρ   6.51 g cm⁻³
Space group   P4/mmm
ΔH_f (0 K)   -0.283 eV per formula unit

Record 11
Computed, not measured: a geometry-optimized La2ScVFe structure at the PBE-GGA level of DFT.

abc: 5.3196 5.3196 4.7527
angles: 90.00 90.00 90.00
Sites, in units of the cell vectors:
1 La 0.0000 0.5000 0.0000
2 La 0.5000 0.0000 0.0000
3 Sc 0.0000 0.0000 0.5000
4 V 0.0000 0.0000 0.0000
5 Fe 0.5000 0.5000 0.5000

ρ   5.30 g cm⁻³
Space group   P4/mmm
ΔH_f (0 K)   5.160 eV per formula unit

Record 12
Computed, not measured: a geometry-optimized La2YScFe structure at the PBE-GGA level of DFT.

abc: 5.2901 5.2901 5.2345
angles: 90.00 90.00 90.00
Sites, in units of the cell vectors:
1 La 0.0000 0.5000 0.0000
2 La 0.5000 0.0000 0.0000
3 Y 0.0000 0.0000 0.5000
4 Sc 0.5000 0.5000 0.5000
5 Fe 0.5000 0.5000 0.0000

ρ   5.30 g cm⁻³
Space group   P4/mmm
ΔH_f (0 K)   0.653 eV per formula unit